A plane-wave DFT calculation with PBE+U was carried out for crystalline InWO4 at its relaxed geometry.

## Properties
SG: No. 14
Raw total energy in eV for the cell shown: -81.7

Unit cell a=4.8205 b=5.7534 c=5.8797 alpha=110.43 beta=90.00 gamma=90.00
Last column: nearest neighbours and their distance in Å.
Atoms (fractional coordinates):
O (0.2843, 0.8286, 0.1284)  2 W 1.98-2.06
O (0.3300, 0.3657, 0.6688)  1 W 2.00, 2 In 2.15-2.16
O (0.2157, 0.3286, 0.1284)  2 W 1.98-2.06
O (0.8300, 0.1343, 0.3312)  1 W 2.00, 2 In 2.15-2.16
O (0.6700, 0.6343, 0.3312)  1 W 2.00, 2 In 2.15-2.16
O (0.7843, 0.6714, 0.8716)  2 W 1.98-2.06
O (0.7157, 0.1714, 0.8716)  2 W 1.98-2.06
O (0.1700, 0.8657, 0.6688)  1 W 2.00, 2 In 2.15-2.16
In (0.0000, 0.5000, 0.5000)  6 O 2.15-2.31
In (0.5000, 0.0000, 0.5000)  6 O 2.15-2.31
W (0.5000, 0.5000, 0.0000)  6 O 1.98-2.06
W (0.0000, 0.0000, 0.0000)  6 O 1.98-2.06